(1)
Below is a relaxed structure of CrIr2WC, with properties calculated at the PBE level.

Calculated values
Total magnetic moment: 0.0 μB per formula unit

Cell lengths 4.594, 4.594, 3.588 Å; angles 90.00, 90.00, 90.00 degrees
Fractional coordinates of all 5 atoms:
Cr 0.000 0.000 0.000
Ir 0.000 0.500 0.000
Ir 0.500 0.000 0.000
W 0.500 0.500 0.500
C 0.000 0.000 0.500

=====

(2)
Below is a relaxed structure of Ac2MnC4, with properties calculated at the PBE level.

Calculated values
Total magnetic moment: 0.9 μB per formula unit

Cell lengths 7.258, 7.258, 7.258 Å; angles 114.91, 81.76, 136.22 degrees
Fractional coordinates of all 14 atoms:
Ac 0.145 0.168 0.314
Ac 0.355 0.668 0.023
Ac 0.645 0.332 0.977
Ac 0.855 0.832 0.686
Mn 0.250 0.750 0.500
Mn 0.750 0.250 0.500
C 0.075 0.659 0.734
C 0.115 0.825 0.940
C 0.385 0.325 0.710
C 0.425 0.159 0.584
C 0.575 0.841 0.416
C 0.615 0.675 0.290
C 0.885 0.175 0.060
C 0.925 0.341 0.266

=====

(3)
Below is a relaxed structure of La2NdCu, with properties calculated at the PBE level.

Calculated values
Total magnetic moment: 0.0 μB per formula unit

Cell lengths 11.385, 11.385, 11.385 Å; angles 18.27, 18.27, 18.27 degrees
Fractional coordinates of all 4 atoms:
La 0.103 0.103 0.103
La 0.897 0.897 0.897
Nd 0.000 0.000 0.000
Cu 0.500 0.500 0.500

=====

Number 1: energy relative to the elements 1680 meV/atom. Number 2: energy relative to the elements 1 meV/atom. Number 3: energy relative to the elements 209 meV/atom.